(1)
MgV4S8: relaxed, PBE.

Lattice parameters (Å, degrees): 6.888 6.888 6.888 60.00 60.00 60.00
Atoms (fractional coordinates):
Mg  0.750  0.750  0.750
V  0.932  0.356  0.356
V  0.356  0.932  0.356
V  0.356  0.356  0.932
V  0.356  0.356  0.356
S  0.634  0.122  0.122
S  0.122  0.634  0.122
S  0.122  0.122  0.634
S  0.122  0.122  0.122
S  0.172  0.609  0.609
S  0.609  0.172  0.609
S  0.609  0.609  0.172
S  0.609  0.609  0.609

Values from the calculation:
Crystal system = cubic
SG = F-43m
Formation energy (no corrections) = -0.94 eV per atom
Fermi-level density of states = 0.3512 states/eV per atom

***

(2)
MgVS3: relaxed, PBE.

Lattice parameters (Å, degrees): 4.606 4.606 4.606 90.00 90.00 90.00
Atoms (fractional coordinates):
S  0.000  0.500  0.000
S  0.000  0.000  0.500
S  0.500  0.000  0.000
Mg  0.500  0.500  0.500
V  0.000  0.000  0.000

Values from the calculation:
Crystal system = cubic
SG = Pm-3m
Formation energy (no corrections) = -0.41 eV per atom
Fermi-level density of states = 0.4900 states/eV per atom

***

Offset from the most stable computed form (computed, meV per atom): 32; 465